[1]
FeRhSe2 (PBE, optimized geometry); space-group type = No. 12
1.0
2.7518 -3.8860 0.0000
2.7518 3.8860 0.0000
-2.7407 0.0000 3.2541
Fe Rh Se
1 1 2
Direct
0.0000 0.0000 0.0000
0.5000 0.5000 0.0000
0.0000 0.5000 0.5000
0.5000 0.0000 0.5000

---

[2]
Na2SnO2 (PBE, optimized geometry); space-group type = No. 60
1.0
17.0422 0.0000 0.0000
0.0000 6.8715 0.0000
0.0000 0.0000 5.8470
Na Sn O
16 8 16
Direct
0.0000 0.1155 0.2500
0.0000 0.3712 0.7500
0.0000 0.6288 0.2500
0.0000 0.8845 0.7500
0.1481 0.1261 0.5816
0.1481 0.8739 0.0816
0.3519 0.3739 0.0816
0.3519 0.6261 0.5816
0.5000 0.1288 0.2500
0.5000 0.3845 0.7500
0.5000 0.6155 0.2500
0.5000 0.8712 0.7500
0.6481 0.3739 0.4184
0.6481 0.6261 0.9184
0.8519 0.1261 0.9184
0.8519 0.8739 0.4184
0.1585 0.3670 0.0670
0.1585 0.6330 0.5670
0.3415 0.1330 0.5670
0.3415 0.8670 0.0670
0.6585 0.1330 0.9330
0.6585 0.8670 0.4330
0.8415 0.3670 0.4330
0.8415 0.6330 0.9330
0.0886 0.1508 0.9415
0.0886 0.8492 0.4415
0.0985 0.4040 0.3857
0.0985 0.5960 0.8857
0.4015 0.0960 0.8857
0.4015 0.9040 0.3857
0.4114 0.3492 0.4415
0.4114 0.6508 0.9415
0.5886 0.3492 0.0585
0.5886 0.6508 0.5585
0.5985 0.0960 0.6143
0.5985 0.9040 0.1143
0.9015 0.4040 0.1143
0.9015 0.5960 0.6143
0.9114 0.1508 0.5585
0.9114 0.8492 0.0585

---

Short version: formation energy (no corrections) = 0.214; -1.452 eV/atom, in the order given.
Short version: total energy = -5.482; -4.763 eV per atom, in the order given.